DFT (PBE+U) results for an optimized crystal structure of EuFe4Cu3O12. Values from VASP.

Geometry as Quantum ESPRESSO input:
```
&SYSTEM
  ibrav = 0, nat = 20, ntyp = 4
/
ATOMIC_SPECIES
Cu 63.55 Cu.upf
O 16.00 O.upf
Fe 55.84 Fe.upf
Eu 151.96 Eu.upf
CELL_PARAMETERS angstrom
6.480 0.000 0.000
-2.160 6.110 0.000
-2.160 -3.055 5.291
ATOMIC_POSITIONS crystal
Cu 0.500 0.000 0.500
Cu 0.500 0.500 0.000
Cu 0.000 0.500 0.500
O 0.688 0.167 0.855
O 0.833 0.145 0.312
O 0.522 0.688 0.833
O 0.167 0.855 0.688
O 0.833 0.522 0.688
O 0.312 0.833 0.145
O 0.855 0.688 0.167
O 0.478 0.312 0.167
O 0.688 0.833 0.522
O 0.167 0.478 0.312
O 0.312 0.167 0.478
O 0.145 0.312 0.833
Fe 0.000 0.000 0.500
Fe 0.500 0.000 0.000
Fe 0.000 0.500 0.000
Fe 0.500 0.500 0.500
Eu 0.000 0.000 0.000
```

As for the space group: Im-3. As for the total energy: -6.48 eV per atom. The size of the total moment comes out at 1.299 μB per atom.